No. 1
The following is a DFT calculation (PBE) of a geometry-optimized PPbI2N structure.

Geometry as extended XYZ:
```
5
Lattice="6.3071 0.0000 0.0000 0.0000 6.3071 0.0000 0.0000 0.0000 4.4436" Properties=species:S:1:pos:R:3 pbc="T T T"
P 0.0000 0.0000 0.0000
Pb 3.1535 3.1535 2.2218
I 0.0000 3.1535 2.2218
I 3.1535 0.0000 2.2218
N 3.1535 3.1535 0.0000
```

Properties
Crystal system: tetragonal
ΔE_f (raw), eV per atom: 1.290
Relative energy among the computed polymorphs, eV per atom: 0.914

***

No. 2
The following is a DFT calculation (PBE) of a geometry-optimized Sn2Pd3Rh structure.

Geometry as extended XYZ:
```
12
Lattice="6.9298 -2.8288 0.0000 6.9298 2.8288 0.0000 -1.7338 0.0000 5.4329" Properties=species:S:1:pos:R:3 pbc="T T T"
Sn 3.4767 1.5012 4.9093
Sn 7.7822 1.5012 3.2400
Sn 4.3436 -1.5012 2.1929
Sn 8.6490 -1.5012 0.5235
Pd 3.9137 1.3381 2.0276
Pd 9.0789 1.3381 0.6889
Pd 6.4963 -0.0011 1.3582
Pd 5.6294 0.0011 4.0747
Pd 3.0468 -1.3381 4.7440
Pd 8.2121 -1.3381 3.4053
Rh 5.6294 2.8106 4.0747
Rh 6.4963 -2.8106 1.3582
```

Properties
Crystal system: monoclinic
ΔE_f, eV/f.u.: -2.62

***

No. 3
The following is a DFT calculation (PBE) of a geometry-optimized Th2NpAu6 structure.

Geometry as extended XYZ:
```
9
Lattice="8.3730 0.0000 0.0000 -4.1865 7.2513 0.0000 0.0000 0.0000 3.3343" Properties=species:S:1:pos:R:3 pbc="T T T"
Th 0.0000 4.8342 0.0000
Th 4.1865 2.4171 0.0000
Np 0.0000 0.0000 0.0000
Au -1.3902 2.4078 1.6672
Au -2.7964 4.8434 1.6672
Au 2.7803 0.0000 1.6672
Au 1.3902 2.4078 1.6672
Au 5.5927 0.0000 1.6672
Au 2.7964 4.8434 1.6672
```

Properties
Crystal system: hexagonal
ΔE_f, eV/f.u.: -4.84

***

No. 4
The following is a DFT calculation (PBE) of a geometry-optimized Na2UInS4 structure.

Geometry as extended XYZ:
```
8
Lattice="6.9242 0.0000 0.0000 0.0000 4.0038 0.0000 -2.3894 0.0000 6.7994" Properties=species:S:1:pos:R:3 pbc="T T T"
Na 0.0000 0.0000 0.0000
Na -1.1947 2.0019 3.3997
U 2.2674 0.0000 3.3997
In 3.4621 2.0019 0.0000
S 1.2525 2.0019 1.8220
S 0.1678 0.0000 5.0170
S 4.3669 0.0000 1.7824
S 3.2823 2.0019 4.9774
```

Properties
Crystal system: monoclinic
ΔE_f (raw), eV per atom: -1.090

***

No. 5
The following is a DFT calculation (PBE) of a geometry-optimized Ce3Zn3Cd8 structure.

Geometry as extended XYZ:
```
14
Lattice="-2.4877 4.7401 6.8599 2.4877 -4.7401 6.8599 2.4877 4.7401 -6.8599" Properties=species:S:1:pos:R:3 pbc="T T T"
Ce 0.0000 0.0000 0.0000
Ce 0.0000 0.0000 3.9039
Ce 0.0000 0.0000 9.8158
Zn 2.4877 3.3960 0.0000
Zn 0.0000 4.7401 0.0000
Zn 0.0000 1.3441 6.8599
Cd 2.4877 1.3955 -1.9420
Cd 2.4877 -1.9167 4.9313
Cd 2.4877 1.3955 1.9420
Cd 0.0000 2.8235 1.9286
Cd 2.4877 1.9167 4.9313
Cd 0.0000 3.3446 4.9179
Cd 0.0000 6.6568 1.9286
Cd 0.0000 3.3446 8.8019
```

Properties
Crystal system: orthorhombic
ΔE_f, eV/f.u.: -2.37

***

No. 6
The following is a DFT calculation (PBE) of a geometry-optimized Ho2Ga2Co structure.

Geometry as extended XYZ:
```
10
Lattice="5.3886 -1.9427 0.0000 5.3886 1.9427 0.0000 -4.4155 0.0000 9.6476" Properties=species:S:1:pos:R:3 pbc="T T T"
Ho -1.4241 0.0000 3.2317
Ho 1.5258 0.0000 1.1999
Ho 4.8358 0.0000 8.4477
Ho 7.7857 0.0000 6.4159
Ga 1.6173 0.0000 4.2773
Ga 4.6092 0.0000 1.0815
Ga 1.7524 0.0000 8.5661
Ga 4.7443 0.0000 5.3703
Co 0.2227 0.0000 6.4818
Co 6.1390 0.0000 3.1659
```

Properties
Crystal system: monoclinic
ΔE_f, eV/f.u.: -2.69

***

No. 7
The following is a DFT calculation (PBE) of a geometry-optimized SrCdBi4 structure.

Geometry as extended XYZ:
```
6
Lattice="0.0000 4.7094 4.7094 4.7094 0.0000 4.7094 4.7094 4.7094 0.0000" Properties=species:S:1:pos:R:3 pbc="T T T"
Sr 0.0000 0.0000 0.0000
Cd 7.0641 7.0641 7.0641
Bi 3.5450 3.5450 3.5450
Bi 5.8738 5.8738 3.5450
Bi 5.8738 3.5450 5.8738
Bi 3.5450 5.8738 5.8738
```

Properties
Crystal system: cubic
ΔE_f, eV/f.u.: -0.77

***

No. 8
The following is a DFT calculation (PBE) of a geometry-optimized Pu2MnAl structure.

Geometry as extended XYZ:
```
12
Lattice="2.9721 0.0000 0.0000 -1.4860 2.5739 0.0000 0.0000 0.0000 30.3558" Properties=species:S:1:pos:R:3 pbc="T T T"
Pu 0.0000 0.0000 7.4619
Pu 0.0000 0.0000 22.8940
Pu 0.0000 1.7159 12.7754
Pu 0.0000 1.7159 27.6990
Pu 1.4860 0.8580 2.6568
Pu 1.4860 0.8580 17.5804
Mn 0.0000 0.0000 15.1779
Mn 0.0000 1.7159 5.0593
Mn 1.4860 0.8580 25.2965
Al 0.0000 0.0000 0.0000
Al 0.0000 1.7159 20.2372
Al 1.4860 0.8580 10.1186
```

Properties
Crystal system: trigonal
Relative energy among the computed polymorphs, eV per atom: 0.236
ΔE_f, eV/f.u.: 0.85

***

| no. | magnetization (μB per formula unit) | volume (Å³/f.u.) |
| --- | --- | --- |
| 1 | 0.83 | 177 |
| 2 | 0.00 | 107 |
| 3 | 4.04 | 202 |
| 4 | 2.09 | 189 |
| 5 | 3.02 | 324 |
| 6 | 0.00 | 101 |
| 7 | 0.00 | 209 |
| 8 | 6.50 | 77 |